Computed, not measured: MnNbReOs after structural relaxation at the GGA-PBE level of DFT.

Values from the calculation:
Energy, eV/atom: -10.728
Symmetry: F-43m (216)

Unit cell a=4.409 b=4.409 c=4.409 alpha=60.00 beta=60.00 gamma=60.00
Site moments in Bohr magnetons follow the coordinates.
Sites, in units of the cell vectors:
Re (0.750, 0.750, 0.750)  -0.26
Nb (0.000, 0.000, 0.000)  0.13
Mn (0.500, 0.500, 0.500)  2.89
Os (0.250, 0.250, 0.250)  0.11

---

Computed, not measured: RuPb2O2F4 after structural relaxation at the GGA-PBE level of DFT.

Values from the calculation:
Energy, eV/atom: -5.393
Energy relative to the elements, uncorrected, kcal/mol of atoms: -37.01
Symmetry: C2/m (12)

Unit cell a=4.386 b=5.800 c=5.800 alpha=60.19 beta=87.22 gamma=87.22
Site moments in Bohr magnetons follow the coordinates.
Sites, in units of the cell vectors:
Ru (0.500, 0.000, 0.000)  1.31
Pb (0.254, 0.687, 0.687)  0.02
Pb (0.746, 0.313, 0.313)  0.02
O (0.285, 0.172, 0.172)  0.22
O (0.715, 0.828, 0.828)  0.22
F (0.263, 0.660, 0.186)  0.00
F (0.737, 0.814, 0.340)  0.00
F (0.737, 0.340, 0.814)  0.00
F (0.263, 0.186, 0.660)  0.00

---

Computed, not measured: Cs4CrS4 after structural relaxation at the GGA-PBE level of DFT.

Values from the calculation:
Energy, eV/atom: -4.318
Energy relative to the elements, uncorrected, kcal/mol of atoms: -23.86
Symmetry: P4_2/nmc (137)

Unit cell a=7.316 b=9.613 c=9.613 alpha=90.00 beta=90.00 gamma=90.00
Site moments in Bohr magnetons follow the coordinates.
Sites, in units of the cell vectors:
Cs (0.352, 0.280, 0.000)  0.00
Cs (0.852, 0.500, 0.780)  0.00
Cs (0.352, 0.720, 0.000)  0.00
Cs (0.148, 0.220, 0.500)  0.00
Cs (0.648, 0.000, 0.720)  0.00
Cs (0.148, 0.780, 0.500)  0.00
Cs (0.852, 0.500, 0.220)  0.00
Cs (0.648, 0.000, 0.280)  0.00
Cr (0.000, 0.000, 0.000)  1.91
Cr (0.500, 0.500, 0.500)  1.91
S (0.668, 0.691, 0.500)  -0.03
S (0.668, 0.309, 0.500)  -0.03
S (0.168, 0.000, 0.809)  -0.03
S (0.832, 0.191, 0.000)  -0.03
S (0.832, 0.809, 0.000)  -0.03
S (0.332, 0.500, 0.309)  -0.03
S (0.332, 0.500, 0.691)  -0.03
S (0.168, 0.000, 0.191)  -0.03